Record 1
Entry from Alexandria via LeMat-Bulk: a relaxed Mn2Br crystal (GGA-PBE).

The space group is C2/m (No. 12) and the conventional cell measures 12.349, 3.202 and 8.137 Å, with angles of 90.00, 126.23 and 90.00 degrees. The inequivalent atoms are Mn at (0.148, 0.000, 0.372), Mn at (0.243, 0.000, 0.770) and Br at (0.078, 0.500, 0.816).

As for the magnetization: 8.084 μB/f.u. The calculation puts the formation energy (no corrections) at 395 meV per atom.

---

Record 2
Entry from Alexandria via LeMat-Bulk: a relaxed MnBr3 crystal (GGA-PBE).

The space group is Fm-3m (No. 225) and the conventional cell measures 7.302, 7.302 and 7.302 Å, with angles of 90.00, 90.00 and 90.00 degrees. The inequivalent atoms are Mn at (0.000, 0.000, 0.000), Br at (0.000, 0.000, 0.500) and Br at (0.250, 0.250, 0.250).

As for the magnetization: 4.000 μB/f.u. The calculation puts the formation energy (no corrections) at 202 meV per atom.

---

Record 3
Entry from Alexandria via LeMat-Bulk: a relaxed MnBr3 crystal (GGA-PBE).

The space group is P6_3/mmc (No. 194) and the conventional cell measures 8.9965, 8.9965 and 6.5121 Å, with angles of 90.00, 90.00 and 120.00 degrees. The inequivalent atoms are Mn at (0.0000, 0.0000, 0.0000), Mn at (0.3333, 0.6667, 0.2500), Br at (0.0000, 0.5000, 0.0000) and Br at (0.1224, 0.2447, 0.7500).

As for the magnetization: 4.242 μB/f.u. The calculation puts the formation energy (no corrections) at -204 meV per atom.

---

Record 4
Entry from Alexandria via LeMat-Bulk: a relaxed Mn5Br crystal (GGA-PBE).

The space group is F-43m (No. 216) and the conventional cell measures 6.799, 6.799 and 6.799 Å, with angles of 90.00, 90.00 and 90.00 degrees. The inequivalent atoms are Mn at (0.000, 0.000, 0.000), Mn at (0.125, 0.125, 0.625) and Br at (0.250, 0.250, 0.250).

The energy above the lowest structure with this stoichiometry comes out at 0.411 eV/atom. As for the magnetization: 6.583 μB/f.u. The calculation puts the formation energy (no corrections) at 821 meV per atom.

---

Record 5
Entry from Alexandria via LeMat-Bulk: a relaxed Mn2Br crystal (GGA-PBE).

The space group is Cmcm (No. 63) and the conventional cell measures 3.387, 17.915 and 4.165 Å, with angles of 90.00, 90.00 and 90.00 degrees. The inequivalent atoms are Mn at (0.000, 0.043, 0.250), Mn at (0.000, 0.441, 0.250) and Br at (0.000, 0.346, 0.750).

As for the magnetization: 1.075 μB/f.u. The calculation puts the formation energy (no corrections) at -36 meV per atom.

---

Record 6
Entry from Alexandria via LeMat-Bulk: a relaxed MnBr3 crystal (GGA-PBE).

The space group is P4/mmm (No. 123) and the conventional cell measures 3.322, 3.322 and 10.922 Å, with angles of 90.00, 90.00 and 90.00 degrees. The inequivalent atoms are Mn at (0.000, 0.000, 0.000), Br at (0.000, 0.000, 0.500) and Br at (0.500, 0.500, 0.151).

As for the magnetization: 4.914 μB/f.u. The calculation puts the formation energy (no corrections) at -150 meV per atom.

---

Record 7
Entry from Alexandria via LeMat-Bulk: a relaxed MnBr2 crystal (GGA-PBE).

The space group is P1 (No. 1) and the conventional cell measures 3.847, 7.193 and 7.974 Å, with angles of 66.95, 89.15 and 89.26 degrees. The inequivalent atoms are Mn at (0.000, 0.000, 0.000), Mn at (0.004, 0.100, 0.735), Br at (0.501, 0.784, 0.123), Br at (0.510, 0.968, 0.632), Br at (0.993, 0.262, 0.092) and Br at (0.997, 0.444, 0.611).

As for the magnetization: 1.983 μB/f.u. The calculation puts the formation energy (no corrections) at -281 meV per atom.

---

Record 8
Entry from Alexandria via LeMat-Bulk: a relaxed Mn2Br crystal (GGA-PBE).

The space group is P6_3/mmc (No. 194) and the conventional cell measures 4.7310, 4.7310 and 5.4678 Å, with angles of 90.00, 90.00 and 120.00 degrees. The inequivalent atoms are Mn at (0.0000, 0.0000, 0.0000), Mn at (0.3333, 0.6667, 0.2500) and Br at (0.3333, 0.6667, 0.7500).

As for the magnetization: 7.668 μB/f.u. The calculation puts the formation energy (no corrections) at 757 meV per atom.

---

Record 9
Entry from Alexandria via LeMat-Bulk: a relaxed Mn2Br crystal (GGA-PBE).

The space group is Fd-3m (No. 227, origin choice 2) and the conventional cell measures 7.957, 7.957 and 7.957 Å, with angles of 90.00, 90.00 and 90.00 degrees. The inequivalent atoms are Mn at (0.000, 0.000, 0.000) and Br at (0.125, 0.125, 0.625).

As for the magnetization: 8.998 μB/f.u. The calculation puts the formation energy (no corrections) at 605 meV per atom.

---

Record 10
Entry from Alexandria via LeMat-Bulk: a relaxed MnBr3 crystal (GGA-PBE).

The space group is I4/mmm (No. 139) and the conventional cell measures 4.297, 4.297 and 27.962 Å, with angles of 90.00, 90.00 and 90.00 degrees. The inequivalent atoms are Mn at (0.000, 0.000, 0.190), Br at (0.000, 0.000, 0.353), Br at (0.000, 0.500, 0.000) and Br at (0.000, 0.500, 0.250).

As for the magnetization: 4.966 μB/f.u. The calculation puts the formation energy (no corrections) at -43 meV per atom.

---

Record 11
Entry from Alexandria via LeMat-Bulk: a relaxed MnBr2 crystal (GGA-PBE).

The space group is Cm (No. 8) and the conventional cell measures 14.394, 3.728 and 7.973 Å, with angles of 90.00, 92.29 and 90.00 degrees. The inequivalent atoms are Mn at (0.000, 0.000, 0.000), Mn at (0.106, 0.500, 0.352), Br at (0.168, 0.000, 0.100), Br at (0.168, 0.000, 0.551), Br at (0.437, 0.000, 0.822) and Br at (0.453, 0.500, 0.303).

As for the magnetization: 5.000 μB/f.u. The calculation puts the formation energy (no corrections) at -677 meV per atom.

---

Record 12
Entry from Alexandria via LeMat-Bulk: a relaxed MnMo2Br crystal (GGA-PBE).

The space group is P4mm (No. 99) and the conventional cell measures 3.407, 3.407 and 6.424 Å, with angles of 90.00, 90.00 and 90.00 degrees. The inequivalent atoms are Mn at (0.000, 0.000, 0.000), Mo at (0.000, 0.000, 0.331), Mo at (0.500, 0.500, 0.128) and Br at (0.500, 0.500, 0.710).

The energy above the lowest structure with this stoichiometry comes out at 0.249 eV/atom. As for the magnetization: 0.000 μB/f.u. The calculation puts the formation energy (no corrections) at 585 meV per atom.

---

Record 13
Entry from Alexandria via LeMat-Bulk: a relaxed MnMoBr2 crystal (GGA-PBE).

The space group is I-4m2 (No. 119) and the conventional cell measures 3.929, 3.929 and 11.133 Å, with angles of 90.00, 90.00 and 90.00 degrees. The inequivalent atoms are Mn at (0.000, 0.000, 0.000), Mo at (0.000, 0.500, 0.750), Br at (0.000, 0.000, 0.500) and Br at (0.000, 0.500, 0.250).

The energy above the lowest structure with this stoichiometry comes out at 0.619 eV/atom. As for the magnetization: 0.799 μB/f.u. The calculation puts the formation energy (no corrections) at 754 meV per atom.

---

Record 14
Entry from Alexandria via LeMat-Bulk: a relaxed MnMoBr crystal (GGA-PBE).

The space group is P-6m2 (No. 187) and the conventional cell measures 4.4172, 4.4172 and 2.9917 Å, with angles of 90.00, 90.00 and 120.00 degrees. The inequivalent atoms are Mn at (0.0000, 0.0000, 0.0000), Mo at (0.3333, 0.6667, 0.5000) and Br at (0.6667, 0.3333, 0.5000).

The energy above the lowest structure with this stoichiometry comes out at 0.371 eV/atom. As for the magnetization: 2.639 μB/f.u. The calculation puts the formation energy (no corrections) at 800 meV per atom.

---

Record 15
Entry from Alexandria via LeMat-Bulk: a relaxed Mn2MoBr crystal (GGA-PBE).

The space group is Immm (No. 71) and the conventional cell measures 3.053, 4.732 and 8.679 Å, with angles of 90.00, 90.00 and 90.00 degrees. The inequivalent atoms are Mn at (0.000, 0.000, 0.249), Mo at (0.000, 0.500, 0.000) and Br at (0.000, 0.500, 0.500).

The energy above the lowest structure with this stoichiometry comes out at 0.402 eV/atom. As for the magnetization: 5.161 μB/f.u. The calculation puts the formation energy (no corrections) at 738 meV per atom.

---

Record 16
Entry from Alexandria via LeMat-Bulk: a relaxed MnMoBr2 crystal (GGA-PBE).

The space group is P4/mmm (No. 123) and the conventional cell measures 3.346, 3.346 and 6.613 Å, with angles of 90.00, 90.00 and 90.00 degrees. The inequivalent atoms are Mn at (0.000, 0.000, 0.000), Mo at (0.000, 0.000, 0.500) and Br at (0.500, 0.500, 0.247).

The energy above the lowest structure with this stoichiometry comes out at 0.592 eV/atom. As for the magnetization: 1.367 μB/f.u. The calculation puts the formation energy (no corrections) at 727 meV per atom.

---

Record 17
Entry from Alexandria via LeMat-Bulk: a relaxed MnMo2Br crystal (GGA-PBE).

The space group is I-4m2 (No. 119) and the conventional cell measures 4.231, 4.231 and 7.349 Å, with angles of 90.00, 90.00 and 90.00 degrees. The inequivalent atoms are Mn at (0.000, 0.000, 0.000), Mo at (0.000, 0.000, 0.500), Mo at (0.000, 0.500, 0.750) and Br at (0.000, 0.500, 0.250).

The energy above the lowest structure with this stoichiometry comes out at 0.629 eV/atom. As for the magnetization: 3.991 μB/f.u. The calculation puts the formation energy (no corrections) at 965 meV per atom.

---

Record 18
Entry from Alexandria via LeMat-Bulk: a relaxed Mn2MoBr crystal (GGA-PBE).

The space group is Pm (No. 6) and the conventional cell measures 3.108, 3.019 and 7.329 Å, with angles of 90.00, 90.38 and 90.00 degrees. The inequivalent atoms are Mn at (0.000, 0.000, 0.000), Mn at (0.496, 0.500, 0.788), Mo at (0.993, 0.000, 0.617) and Br at (0.982, 0.500, 0.315).

The energy above the lowest structure with this stoichiometry comes out at 0.025 eV/atom. As for the magnetization: 4.269 μB/f.u. The calculation puts the formation energy (no corrections) at 361 meV per atom.

---

Record 19
Entry from Alexandria via LeMat-Bulk: a relaxed MnMo2Br crystal (GGA-PBE).

The space group is Imm2 (No. 44) and the conventional cell measures 2.969, 4.543 and 9.055 Å, with angles of 90.00, 90.00 and 90.00 degrees. The inequivalent atoms are Mn at (0.000, 0.000, 0.000), Mo at (0.000, 0.000, 0.524), Mo at (0.000, 0.500, 0.743) and Br at (0.000, 0.500, 0.266).

The energy above the lowest structure with this stoichiometry comes out at 0.406 eV/atom. As for the magnetization: 1.542 μB/f.u. The calculation puts the formation energy (no corrections) at 742 meV per atom.

---

Record 20
Entry from Alexandria via LeMat-Bulk: a relaxed MnMoBr2 crystal (GGA-PBE).

The space group is Pm (No. 6) and the conventional cell measures 4.072, 3.360 and 7.668 Å, with angles of 90.00, 104.66 and 90.00 degrees. The inequivalent atoms are Mn at (0.000, 0.000, 0.000), Mo at (0.381, 0.500, 0.957), Br at (0.529, 0.000, 0.710) and Br at (0.839, 0.500, 0.245).

The energy above the lowest structure with this stoichiometry comes out at 0.045 eV/atom. As for the magnetization: 1.161 μB/f.u. The calculation puts the formation energy (no corrections) at 180 meV per atom.